Ta2MnPtN, relaxed, DFT GGA-PBE; E_form (uncorrected) = -3.08 eV/f.u.
1.0
4.210 0.000 0.000
0.000 4.210 0.000
0.000 0.000 3.847
Ta Mn Pt N
2 1 1 1
direct
0.000 0.500 0.000
0.500 0.000 0.000
0.000 0.000 0.500
0.500 0.500 0.500
0.000 0.000 0.000

Mn2TcPtN, relaxed, DFT GGA-PBE; E_form (uncorrected) = -0.62 eV/f.u.
1.0
3.839 0.000 0.000
0.000 3.839 0.000
0.000 0.000 3.970
Mn Tc Pt N
2 1 1 1
direct
0.000 0.500 0.000
0.500 0.000 0.000
0.000 0.000 0.500
0.500 0.500 0.500
0.000 0.000 0.000

MnTe2PtN, relaxed, DFT GGA-PBE; E_form (uncorrected) = 2.90 eV/f.u.; relative energy among the computed polymorphs = 341 meV per atom
1.0
5.611 0.000 0.000
0.000 5.611 0.000
0.000 0.000 3.683
Mn Te Pt N
1 2 1 1
direct
0.000 0.000 0.000
0.000 0.500 0.500
0.500 0.000 0.500
0.500 0.500 0.500
0.500 0.500 0.000

MnTePt2N, relaxed, DFT GGA-PBE; E_form (uncorrected) = 9.07 eV/f.u.
1.0
4.653 0.000 0.000
0.000 4.653 0.000
0.000 0.000 4.822
Mn Te Pt N
1 1 2 1
direct
0.000 0.000 0.000
0.000 0.000 0.500
0.000 0.500 0.000
0.500 0.000 0.000
0.500 0.500 0.500

MnTePtN2, relaxed, DFT GGA-PBE; E_form (uncorrected) = 3.56 eV/f.u.; relative energy among the computed polymorphs = 0 meV per atom
1.0
3.663 0.000 0.000
0.000 3.663 0.000
0.000 0.000 5.787
Mn Te Pt N
1 1 1 2
direct
0.000 0.000 0.000
0.000 0.000 0.500
0.500 0.500 0.500
0.000 0.500 0.000
0.500 0.000 0.000

MnTe2PtN, relaxed, DFT GGA-PBE; E_form (uncorrected) = 1.20 eV/f.u.; relative energy among the computed polymorphs = 0 meV per atom
1.0
5.141 0.000 0.000
0.000 5.141 0.000
0.000 0.000 3.417
Mn Te Pt N
1 2 1 1
direct
0.000 0.000 0.000
0.000 0.500 0.000
0.500 0.000 0.000
0.500 0.500 0.500
0.000 0.000 0.500

MnTePtN2, relaxed, DFT GGA-PBE; E_form (uncorrected) = 5.49 eV/f.u.; relative energy among the computed polymorphs = 387 meV per atom
1.0
3.785 0.000 0.000
0.000 3.785 0.000
0.000 0.000 8.414
Mn Te Pt N
1 1 1 2
direct
0.000 0.000 0.000
0.500 0.500 0.000
0.500 0.500 0.500
0.000 0.500 0.500
0.500 0.000 0.500

Ti2MnPtN, relaxed, DFT GGA-PBE; E_form (uncorrected) = -4.84 eV/f.u.
1.0
4.124 0.000 0.000
0.000 4.124 0.000
0.000 0.000 3.735
Ti Mn Pt N
2 1 1 1
direct
0.000 0.500 0.000
0.500 0.000 0.000
0.000 0.000 0.500
0.500 0.500 0.500
0.000 0.000 0.000

> Which value of E_form (uncorrected) does entry 5 give?

3.56 eV/f.u.